1.
This record from the Alexandria database describes a relaxed structure of ZnTc2. The functional is PBEsol.

```
ZnTc2
1.0
2.727 0.000 0.000
-1.363 2.361 0.000
0.000 0.000 6.510
Zn Tc
1 2
direct
0.000 0.000 0.000
0.333 0.667 0.655
0.667 0.333 0.345
```

For the formation energy, the calculation gives -0.007 eV/atom. The energy above the most stable polymorph in this dataset is 0.08 eV/f.u. Its theoretical density is 10.4 g/cm3. The value obtained for the calculated volume is 14.0 Å³ per atom. The total magnetization comes out at 0.000 μB per cell.

=====

2.
This record from the Alexandria database describes a relaxed structure of ZnTc2. The functional is PBEsol.

```
ZnTc2
1.0
1.382 -6.879 0.000
1.382 6.879 0.000
0.000 0.000 4.309
Zn Tc
2 4
direct
0.111 0.889 0.750
0.889 0.111 0.250
0.218 0.782 0.250
0.445 0.555 0.750
0.555 0.445 0.250
0.782 0.218 0.750
```

For the formation energy, the calculation gives 0.038 eV/atom. The energy above the most stable polymorph in this dataset is 0.22 eV/f.u. Its theoretical density is 10.6 g/cm3. The value obtained for the calculated volume is 13.7 Å³ per atom. The total magnetization comes out at 0.000 μB per cell.

=====

3.
This record from the Alexandria database describes a relaxed structure of Zn3Tc. The functional is PBEsol.

```
Zn3Tc
1.0
-1.318 4.375 2.365
1.318 -4.375 2.365
1.318 4.375 -2.365
Zn Tc
3 1
direct
0.000 0.000 0.000
0.073 0.321 0.752
0.570 0.321 0.248
0.507 0.007 0.500
```

For the formation energy, the calculation gives 0.001 eV/atom. Its theoretical density is 9.0 g/cm3. The value obtained for the calculated volume is 13.6 Å³ per atom. The total magnetization comes out at 0.000 μB per cell.

=====

4.
This record from the Alexandria database describes a relaxed structure of Zn3Tc. The functional is PBEsol.

```
Zn3Tc
1.0
5.325 0.000 0.000
-2.662 4.611 0.000
0.000 0.000 4.385
Zn Tc
6 2
direct
0.168 0.337 0.250
0.168 0.832 0.250
0.337 0.168 0.750
0.663 0.832 0.250
0.832 0.168 0.750
0.832 0.663 0.750
0.333 0.667 0.750
0.667 0.333 0.250
```

For the formation energy, the calculation gives 0.033 eV/atom. Its theoretical density is 9.1 g/cm3. The value obtained for the calculated volume is 13.5 Å³ per atom. The total magnetization comes out at 0.709 μB per cell.

=====

5.
This record from the Alexandria database describes a relaxed structure of Zn15Tc. The functional is PBEsol.

```
Zn15Tc
1.0
6.862 0.000 0.000
3.264 7.645 0.000
1.236 0.851 8.897
Zn Tc
30 2
direct
0.011 0.098 0.371
0.011 0.437 0.368
0.025 0.754 0.374
0.130 0.098 0.091
0.141 0.414 0.089
0.164 0.760 0.090
0.261 0.115 0.804
0.278 0.783 0.814
0.282 0.438 0.820
0.325 0.305 0.539
0.328 0.968 0.538
0.334 0.630 0.553
0.362 0.162 0.283
0.369 0.821 0.283
0.378 0.485 0.251
0.622 0.515 0.749
0.631 0.179 0.717
0.638 0.838 0.717
0.666 0.370 0.447
0.672 0.032 0.462
0.675 0.695 0.461
0.718 0.562 0.180
0.722 0.217 0.186
0.739 0.885 0.196
0.836 0.240 0.910
0.859 0.586 0.911
0.870 0.902 0.909
0.975 0.246 0.626
0.989 0.563 0.632
0.989 0.902 0.629
0.498 0.142 0.001
0.502 0.858 0.999
```

For the formation energy, the calculation gives 0.051 eV/atom. Its theoretical density is 7.7 g/cm3. The value obtained for the calculated volume is 14.6 Å³ per atom. The total magnetization comes out at 0.001 μB per cell.

=====

6.
This record from the Alexandria database describes a relaxed structure of ZrZnTc2. The functional is PBEsol.

```
ZrZnTc2
1.0
3.925 0.000 0.000
0.000 3.925 0.000
0.000 0.000 3.965
Zr Zn Tc
1 1 2
direct
0.000 0.000 0.000
0.500 0.500 0.000
0.000 0.500 0.500
0.500 0.000 0.500
```

For the formation energy, the calculation gives -0.042 eV/atom. Its theoretical density is 9.6 g/cm3. The value obtained for the calculated volume is 15.3 Å³ per atom. The total magnetization comes out at 0.000 μB per cell.

=====

7.
This record from the Alexandria database describes a relaxed structure of Zr3ZnTc. The functional is PBEsol.

```
Zr3ZnTc
1.0
4.790 0.000 0.000
0.000 4.790 0.000
0.000 0.000 4.790
Zr Zn Tc
3 1 1
direct
0.000 0.000 0.500
0.000 0.500 0.000
0.500 0.000 0.000
0.000 0.000 0.000
0.500 0.500 0.500
```

For the formation energy, the calculation gives 1.071 eV/atom. Its theoretical density is 6.6 g/cm3. The value obtained for the calculated volume is 22.0 Å³ per atom. The total magnetization comes out at 0.001 μB per cell.

=====

8.
This record from the Alexandria database describes a relaxed structure of ZrZnTc2. The functional is PBEsol.

```
ZrZnTc2
1.0
1.396 0.806 9.290
-1.396 0.806 9.290
0.000 -1.612 9.290
Zr Zn Tc
1 1 2
direct
0.000 0.000 0.000
0.244 0.244 0.244
0.498 0.498 0.498
0.759 0.759 0.759
```

For the formation energy, the calculation gives 0.087 eV/atom. Its theoretical density is 9.3 g/cm3. The value obtained for the calculated volume is 15.7 Å³ per atom. The total magnetization comes out at 0.000 μB per cell.

=====

9.
This record from the Alexandria database describes a relaxed structure of ZrZnTc2. The functional is PBEsol.

```
ZrZnTc2
1.0
-1.614 2.204 4.376
1.614 -2.204 4.376
1.614 2.204 -4.376
Zr Zn Tc
1 1 2
direct
0.000 0.000 0.000
0.500 0.500 0.000
0.247 0.747 0.500
0.753 0.253 0.500
```

For the formation energy, the calculation gives 0.059 eV/atom. Its theoretical density is 9.4 g/cm3. The value obtained for the calculated volume is 15.6 Å³ per atom. The total magnetization comes out at 0.000 μB per cell.

=====

10.
This record from the Alexandria database describes a relaxed structure of ZrZnTc2. The functional is PBEsol.

```
ZrZnTc2
1.0
2.959 0.000 0.000
0.000 3.779 0.000
0.000 0.000 5.551
Zr Zn Tc
1 1 2
direct
0.000 0.000 0.000
0.500 0.500 0.732
0.000 0.000 0.483
0.500 0.500 0.265
```

For the formation energy, the calculation gives -0.035 eV/atom. Its theoretical density is 9.4 g/cm3. The value obtained for the calculated volume is 15.5 Å³ per atom. The total magnetization comes out at 0.000 μB per cell.

=====

11.
This record from the Alexandria database describes a relaxed structure of Zr3Tc. The functional is PBEsol.

```
Zr3Tc
1.0
4.279 0.000 0.000
0.000 4.279 0.000
0.000 0.000 4.279
Zr Tc
3 1
direct
0.000 0.000 0.500
0.000 0.500 0.000
0.500 0.000 0.000
0.500 0.500 0.500
```

For the formation energy, the calculation gives 0.130 eV/atom. Its theoretical density is 7.9 g/cm3. The value obtained for the calculated volume is 19.6 Å³ per atom. The total magnetization comes out at 0.000 μB per cell.

=====

12.
This record from the Alexandria database describes a relaxed structure of Zr4Tc. The functional is PBEsol.

```
Zr4Tc
1.0
-1.806 1.806 8.286
1.806 -1.806 8.286
1.806 1.806 -8.286
Zr Tc
4 1
direct
0.085 0.085 0.000
0.250 0.750 0.500
0.750 0.250 0.500
0.915 0.915 0.000
0.500 0.500 0.000
```

For the formation energy, the calculation gives 0.693 eV/atom. The energy above the most stable polymorph in this dataset is 4.37 eV/f.u. Its theoretical density is 7.1 g/cm3. The value obtained for the calculated volume is 21.6 Å³ per atom. The total magnetization comes out at 0.000 μB per cell.

=====

13.
This record from the Alexandria database describes a relaxed structure of Zr3Tc. The functional is PBEsol.

```
Zr3Tc
1.0
3.597 -4.865 0.000
3.597 4.865 0.000
0.000 0.000 4.447
Zr Tc
6 2
direct
0.108 0.892 0.750
0.155 0.405 0.750
0.405 0.155 0.250
0.595 0.845 0.750
0.845 0.595 0.250
0.892 0.108 0.250
0.375 0.625 0.250
0.625 0.375 0.750
```

For the formation energy, the calculation gives -0.124 eV/atom. Its theoretical density is 7.9 g/cm3. The value obtained for the calculated volume is 19.5 Å³ per atom. The total magnetization comes out at 0.000 μB per cell.